Entry 1:
# ZrNpCd2O8 (PBE, relaxed)
# Volume = 174.41 Å³/cell
# SG = Cmmm (65)
# Raw total energy = -7.2618 eV/atom
# Uncorrected formation energy = -2013 meV/atom
data_ZrNpCd2O8
_chemical_formula_sum 'Zr1 Np1 Cd2 O8'
_cell_length_a 5.108
_cell_length_b 5.108
_cell_length_c 6.697
_cell_angle_alpha 90.00
_cell_angle_beta 90.00
_cell_angle_gamma 93.57
_symmetry_space_group_name_H-M 'P 1'
_symmetry_Int_Tables_number 1
loop_
_symmetry_equiv_pos_as_xyz
'x,y,z'
loop_
_atom_site_label
_atom_site_fract_x
_atom_site_fract_y
_atom_site_fract_z
Zr1 0.000 0.000 0.000
Np1 0.000 0.000 0.500
Cd1 0.500 0.500 0.245
Cd2 0.500 0.500 0.755
O1 0.172 0.828 0.264
O2 0.172 0.828 0.736
O3 0.287 0.287 0.500
O4 0.291 0.291 0.000
O5 0.709 0.709 0.000
O6 0.713 0.713 0.500
O7 0.828 0.172 0.264
O8 0.828 0.172 0.736

---

Entry 2:
# NpCdOs (PBE, relaxed)
# Volume = 123.33 Å³/cell
# SG = C2/m (12)
# Raw total energy = -8.0480 eV/atom
# Energy relative to the elements = 0.31 eV/atom
data_NpCdOs
_chemical_formula_sum 'Np2 Cd2 Os2'
_cell_length_a 5.179
_cell_length_b 5.179
_cell_length_c 8.440
_cell_angle_alpha 100.25
_cell_angle_beta 100.25
_cell_angle_gamma 33.67
_symmetry_space_group_name_H-M 'P 1'
_symmetry_Int_Tables_number 1
loop_
_symmetry_equiv_pos_as_xyz
'x,y,z'
loop_
_atom_site_label
_atom_site_fract_x
_atom_site_fract_y
_atom_site_fract_z
Np1 0.154 0.154 0.319
Np2 0.846 0.846 0.681
Cd1 0.379 0.379 0.067
Cd2 0.621 0.621 0.933
Os1 0.108 0.108 0.636
Os2 0.892 0.892 0.364

---

Question: Number 2 is which compound?
Answer: NpCdOs